## 1
Below is a relaxed RbBa2TlAu crystal, with properties calculated at the GGA-PBE level.

The space group is P4/mmm (No. 123) and the conventional cell measures 6.5117, 6.5117 and 5.7589 Å, with angles of 90.00, 90.00 and 90.00 degrees. The inequivalent atoms are Rb at (0.0000, 0.0000, 0.0000), Ba at (0.0000, 0.5000, 0.5000), Tl at (0.5000, 0.5000, 0.0000) and Au at (0.5000, 0.5000, 0.5000).

## 2
Below is a relaxed RbBa2TlAu crystal, with properties calculated at the GGA-PBE level.

The space group is P4/mmm (No. 123) and the conventional cell measures 6.9540, 6.9540 and 5.8586 Å, with angles of 90.00, 90.00 and 90.00 degrees. The inequivalent atoms are Rb at (0.0000, 0.0000, 0.0000), Ba at (0.0000, 0.5000, 0.0000), Tl at (0.0000, 0.0000, 0.5000) and Au at (0.5000, 0.5000, 0.5000).

It turns out 1 is the most stable, with the second structure 86.8 kJ/mol of atoms higher.

## 1
Below is a relaxed BaRe3Au crystal, with properties calculated at the GGA-PBE level.

The space group is Pm-3m (No. 221) and the conventional cell measures 4.9941, 4.9941 and 4.9941 Å, with angles of 90.00, 90.00 and 90.00 degrees. The inequivalent atoms are Ba at (0.0000, 0.0000, 0.0000), Re at (0.0000, 0.5000, 0.5000) and Au at (0.5000, 0.5000, 0.5000).

## 2
Below is a relaxed BaRe3Au crystal, with properties calculated at the GGA-PBE level.

The space group is Pm-3m (No. 221) and the conventional cell measures 4.9657, 4.9657 and 4.9657 Å, with angles of 90.00, 90.00 and 90.00 degrees. The inequivalent atoms are Ba at (0.0000, 0.0000, 0.0000), Re at (0.0000, 0.0000, 0.5000) and Au at (0.5000, 0.5000, 0.5000).

It turns out 1 is the most stable, with the second structure 142.5 kJ/mol of atoms higher.

## 1
Below is a relaxed BaReAu3 crystal, with properties calculated at the GGA-PBE level.

The space group is Pm-3m (No. 221) and the conventional cell measures 5.1555, 5.1555 and 5.1555 Å, with angles of 90.00, 90.00 and 90.00 degrees. The inequivalent atoms are Ba at (0.0000, 0.0000, 0.0000), Re at (0.5000, 0.5000, 0.5000) and Au at (0.0000, 0.5000, 0.5000).

## 2
Below is a relaxed BaReAu3 crystal, with properties calculated at the GGA-PBE level.

The space group is Pm-3m (No. 221) and the conventional cell measures 6.0537, 6.0537 and 6.0537 Å, with angles of 90.00, 90.00 and 90.00 degrees. The inequivalent atoms are Ba at (0.0000, 0.0000, 0.0000), Re at (0.5000, 0.5000, 0.5000) and Au at (0.0000, 0.0000, 0.5000).

It turns out 1 is the most stable, with the second structure 145.4 kJ/mol of atoms higher.

## 1
Below is a relaxed Ba8Rh2Au crystal, with properties calculated at the GGA-PBE level.

The space group is C2/m (No. 12) and the conventional cell measures 17.2000, 8.1513 and 7.5349 Å, with angles of 90.00, 107.85 and 90.00 degrees. The inequivalent atoms are Ba at (0.0818, 0.0000, 0.2830), Ba at (0.1332, 0.2579, 0.8518), Ba at (0.1775, 0.5000, 0.3798), Rh at (0.2321, 0.0000, 0.1892) and Au at (0.0000, 0.5000, 0.0000).

## 2
Below is a relaxed Ba8Rh2Au crystal, with properties calculated at the GGA-PBE level.

The space group is C2/m (No. 12) and the conventional cell measures 15.2447, 9.2169 and 7.7369 Å, with angles of 90.00, 90.50 and 90.00 degrees. The inequivalent atoms are Ba at (0.1180, 0.0000, 0.2008), Ba at (0.1350, 0.5000, 0.1829), Ba at (0.1398, 0.2570, 0.6671), Rh at (0.2415, 0.0000, 0.4942) and Au at (0.0000, 0.5000, 0.5000).

It turns out 2 is the most stable, with the second structure 6.9 kJ/mol of atoms higher.

## 1
Below is a relaxed Ba4RhAu2 crystal, with properties calculated at the GGA-PBE level.

The space group is I4/mmm (No. 139) and the conventional cell measures 5.7765, 5.7765 and 17.0330 Å, with angles of 90.00, 90.00 and 90.00 degrees. The inequivalent atoms are Ba at (0.0000, 0.0000, 0.1843), Ba at (0.0000, 0.5000, 0.0000), Rh at (0.0000, 0.0000, 0.0000) and Au at (0.0000, 0.0000, 0.3774).

## 2
Below is a relaxed Ba4RhAu2 crystal, with properties calculated at the GGA-PBE level.

The space group is C2/m (No. 12) and the conventional cell measures 16.9305, 4.7002 and 7.9355 Å, with angles of 90.00, 116.82 and 90.00 degrees. The inequivalent atoms are Ba at (0.1161, 0.0000, 0.2714), Ba at (0.1216, 0.5000, 0.8018), Rh at (0.0000, 0.5000, 0.0000) and Au at (0.2460, 0.0000, 0.7452).

It turns out 2 is the most stable, with the second structure 6.8 kJ/mol of atoms higher.

## 1
Below is a relaxed Ba6Rh2Au crystal, with properties calculated at the GGA-PBE level.

The space group is C2/m (No. 12) and the conventional cell measures 15.1429, 5.9836 and 10.4127 Å, with angles of 90.00, 118.85 and 90.00 degrees. The inequivalent atoms are Ba at (0.0196, 0.0000, 0.2042), Ba at (0.1527, 0.5000, 0.5903), Ba at (0.2028, 0.5000, 0.0877), Rh at (0.1792, 0.0000, 0.1081) and Au at (0.0000, 0.0000, 0.5000).

## 2
Below is a relaxed Ba6Rh2Au crystal, with properties calculated at the GGA-PBE level.

The space group is P-31m (No. 162) and the conventional cell measures 7.8333, 7.8333 and 7.5683 Å, with angles of 90.00, 90.00 and 120.00 degrees. The inequivalent atoms are Ba at (0.0000, 0.3456, 0.2697), Rh at (0.3333, 0.6667, 0.5000) and Au at (0.0000, 0.0000, 0.0000).

It turns out 2 is the most stable, with the second structure 4.6 kJ/mol of atoms higher.

## 1
Below is a relaxed BaRuAu2 crystal, with properties calculated at the GGA-PBE level.

The space group is P4/mmm (No. 123) and the conventional cell measures 3.5173, 3.5173 and 7.3552 Å, with angles of 90.00, 90.00 and 90.00 degrees. The inequivalent atoms are Ba at (0.0000, 0.0000, 0.0000), Ru at (0.0000, 0.0000, 0.5000) and Au at (0.5000, 0.5000, 0.3127).

## 2
Below is a relaxed BaRuAu2 crystal, with properties calculated at the GGA-PBE level.

The space group is I4/mmm (No. 139) and the conventional cell measures 4.4886, 4.4886 and 9.0748 Å, with angles of 90.00, 90.00 and 90.00 degrees. The inequivalent atoms are Ba at (0.0000, 0.0000, 0.0000), Ru at (0.0000, 0.0000, 0.5000) and Au at (0.0000, 0.5000, 0.2500).

## 3
Below is a relaxed BaRuAu2 crystal, with properties calculated at the GGA-PBE level.

The space group is I-4m2 (No. 119) and the conventional cell measures 4.4234, 4.4234 and 9.3423 Å, with angles of 90.00, 90.00 and 90.00 degrees. The inequivalent atoms are Ba at (0.0000, 0.0000, 0.0000), Ru at (0.0000, 0.5000, 0.7500), Au at (0.0000, 0.0000, 0.5000) and Au at (0.0000, 0.5000, 0.2500).

It turns out 1 is the most stable, with the second structure 16.3 kJ/mol of atoms higher.

## 1
Below is a relaxed BaRuAu2 crystal, with properties calculated at the GGA-PBE level.

The space group is C2/m (No. 12) and the conventional cell measures 7.9918, 4.6158 and 6.2241 Å, with angles of 90.00, 115.45 and 90.00 degrees. The inequivalent atoms are Ba at (0.0000, 0.0000, 0.0000), Ru at (0.0000, 0.5000, 0.5000) and Au at (0.1966, 0.0000, 0.5894).

## 2
Below is a relaxed BaRuAu2 crystal, with properties calculated at the GGA-PBE level.

The space group is I-42d (No. 122) and the conventional cell measures 5.2488, 5.2488 and 17.6693 Å, with angles of 90.00, 90.00 and 90.00 degrees. The inequivalent atoms are Ba at (0.0000, 0.0000, 0.0000), Ru at (0.0000, 0.0000, 0.5000) and Au at (0.0788, 0.2500, 0.6250).

## 3
Below is a relaxed BaRuAu2 crystal, with properties calculated at the GGA-PBE level.

The space group is Immm (No. 71) and the conventional cell measures 4.5079, 5.9102 and 7.9026 Å, with angles of 90.00, 90.00 and 90.00 degrees. The inequivalent atoms are Ba at (0.0000, 0.0000, 0.0000), Ru at (0.0000, 0.0000, 0.5000) and Au at (0.0000, 0.5000, 0.1865).

It turns out 1 is the most stable, with the second structure 26.6 kJ/mol of atoms higher.

## 1
Below is a relaxed BaRuAu2 crystal, with properties calculated at the GGA-PBE level.

The space group is R3m (No. 160, hexagonal axes) and the conventional cell measures 4.6651, 4.6651 and 16.7811 Å, with angles of 90.00, 90.00 and 120.00 degrees. The inequivalent atoms are Ba at (0.0000, 0.0000, 0.0000), Ru at (0.0000, 0.0000, 0.1802), Au at (0.0000, 0.0000, 0.5179) and Au at (0.0000, 0.0000, 0.8090).

## 2
Below is a relaxed BaRuAu2 crystal, with properties calculated at the GGA-PBE level.

The space group is F-43m (No. 216) and the conventional cell measures 7.1183, 7.1183 and 7.1183 Å, with angles of 90.00, 90.00 and 90.00 degrees. The inequivalent atoms are Ba at (0.0000, 0.0000, 0.0000), Ru at (0.2500, 0.2500, 0.7500), Au at (0.0000, 0.0000, 0.5000) and Au at (0.2500, 0.2500, 0.2500).

It turns out 1 is the most stable, with the second structure 50.1 kJ/mol of atoms higher.

## 1
Below is a relaxed BaRu3Au crystal, with properties calculated at the GGA-PBE level.

The space group is Pm-3m (No. 221) and the conventional cell measures 5.0252, 5.0252 and 5.0252 Å, with angles of 90.00, 90.00 and 90.00 degrees. The inequivalent atoms are Ba at (0.0000, 0.0000, 0.0000), Ru at (0.0000, 0.5000, 0.5000) and Au at (0.5000, 0.5000, 0.5000).

## 2
Below is a relaxed BaRu3Au crystal, with properties calculated at the GGA-PBE level.

The space group is Pm-3m (No. 221) and the conventional cell measures 4.9856, 4.9856 and 4.9856 Å, with angles of 90.00, 90.00 and 90.00 degrees. The inequivalent atoms are Ba at (0.0000, 0.0000, 0.0000), Ru at (0.0000, 0.0000, 0.5000) and Au at (0.5000, 0.5000, 0.5000).

It turns out 1 is the most stable, with the second structure 111.7 kJ/mol of atoms higher.

## 1
Below is a relaxed Ba2Ru2Au crystal, with properties calculated at the GGA-PBE level.

The space group is I4/mmm (No. 139) and the conventional cell measures 6.1375, 6.1375 and 7.6799 Å, with angles of 90.00, 90.00 and 90.00 degrees. The inequivalent atoms are Ba at (0.0000, 0.5000, 0.2500), Ru at (0.0000, 0.0000, 0.1493) and Au at (0.0000, 0.0000, 0.5000).

## 2
Below is a relaxed Ba2Ru2Au crystal, with properties calculated at the GGA-PBE level.

The space group is P4/mbm (No. 127) and the conventional cell measures 7.1645, 7.1645 and 5.0119 Å, with angles of 90.00, 90.00 and 90.00 degrees. The inequivalent atoms are Ba at (0.1857, 0.3143, 0.0000), Ru at (0.1157, 0.6157, 0.5000) and Au at (0.0000, 0.0000, 0.5000).

It turns out 2 is the most stable, with the second structure 23.6 kJ/mol of atoms higher.

## 1
Below is a relaxed Ba2AuS2 crystal, with properties calculated at the GGA-PBE level.

The space group is I4/mmm (No. 139) and the conventional cell measures 6.2844, 6.2844 and 9.2506 Å, with angles of 90.00, 90.00 and 90.00 degrees. The inequivalent atoms are Ba at (0.0000, 0.5000, 0.2500), Au at (0.0000, 0.0000, 0.0000) and S at (0.0000, 0.0000, 0.2564).

## 2
Below is a relaxed Ba2AuS2 crystal, with properties calculated at the GGA-PBE level.

The space group is P4/mbm (No. 127) and the conventional cell measures 8.4371, 8.4371 and 4.1024 Å, with angles of 90.00, 90.00 and 90.00 degrees. The inequivalent atoms are Ba at (0.1561, 0.3439, 0.0000), Au at (0.0000, 0.0000, 0.5000) and S at (0.1538, 0.6538, 0.5000).

It turns out 2 is the most stable, with the second structure 1.3 kJ/mol of atoms higher.